VASP calculation (GGA-PBEsol) on a relaxed structure of Rb2MnIn.

POSCAR file:
```
Rb2MnIn
1.0
-4.593 1.016 3.786
-3.034 -4.646 2.381
0.582 -1.296 5.869
Rb In Mn
2 1 1
Cartesian
-5.284 -3.695 9.027 Rb
-1.761 -1.232 3.009 Rb
-3.523 -2.463 6.018 In
0.000 0.000 0.000 Mn
```

## Properties
Space-group type ... No. 225
Calculated total energy ... -11.4 eV per formula unit
DOS at the Fermi energy ... 3.6 states/eV per cell